## BaWF3 (PBE with a Hubbard U)

Data for crystalline BaWF3 at its relaxed geometry.

Properties
* electronic total energy: -0.178 hartree per atom
* total magnetization: 4.2 μB per formula unit

Structure (CIF):
```
data_BaWF3
_chemical_formula_sum 'Ba1 W1 F3'
_symmetry_space_group_name_H-M 'P m -3 m'
_symmetry_Int_Tables_number 221
_symmetry_space_group_name_Hall '-P 4 2 3'
_cell_length_a 4.6689
_cell_length_b 4.6689
_cell_length_c 4.6689
_cell_angle_alpha 90.00
_cell_angle_beta 90.00
_cell_angle_gamma 90.00
loop_
_atom_site_label
_atom_site_type_symbol
_atom_site_fract_x
_atom_site_fract_y
_atom_site_fract_z
Ba1 Ba 0.0000 0.0000 0.0000
W1 W 0.5000 0.5000 0.5000
F1 F 0.0000 0.5000 0.5000
```